Record 1
{
  "formula": "La3TbMg",
  "functional": "GGA-PBE",
  "state": "optimized geometry",
  "cell": [[3.8453, 0.0000, 0.0000], [-0.0010, 8.9709, 0.0000], [-1.9216, -2.3830, 9.8487]],
  "species": ["La", "La", "La", "La", "La", "La", "Tb", "Tb", "Mg", "Mg"],
  "fractional_positions": [[0.0032, 0.2585, 0.0050], [0.1876, 0.3751, 0.3735], [0.2004, 0.8260, 0.4016], [0.7996, 0.1740, 0.5984], [0.8124, 0.6249, 0.6265], [0.9968, 0.7415, 0.9950], [0.3976, 0.9570, 0.7963], [0.6024, 0.0430, 0.2037], [0.4078, 0.4411, 0.8166], [0.5922, 0.5589, 0.1834]],
  "de_polymorph_ev_per_atom": 0.000,
  "total_energy_ry_per_atom": -0.3096,
  "formation_energy_ev_per_atom": -0.01,
  "crystal_system": "triclinic",
  "dos_ef_per_ev_cell": 14.55
}

Record 2
{
  "formula": "Ti2BiOs",
  "functional": "GGA-PBE",
  "state": "optimized geometry",
  "cell": [[-3.6984, 3.6984, 2.9561], [3.6984, -3.6984, 2.9561], [3.6984, 3.6984, -2.9561]],
  "species": ["Ti", "Ti", "Ti", "Ti", "Bi", "Bi", "Os", "Os"],
  "fractional_positions": [[0.0689, 0.6250, 0.9439], [0.3750, 0.3189, 0.4439], [0.6811, 0.1250, 0.0561], [0.8750, 0.9311, 0.5561], [0.2500, 0.7500, 0.5000], [0.5000, 0.5000, 0.0000], [0.0000, 0.0000, 0.0000], [0.7500, 0.2500, 0.5000]],
  "total_energy_ry_per_atom": -0.5516,
  "formation_energy_ev_per_atom": 0.22,
  "crystal_system": "tetragonal",
  "dos_ef_per_ev_cell": 8.10
}

Record 3
{
  "formula": "Ba2Ga5Hg3",
  "functional": "GGA-PBE",
  "state": "optimized geometry",
  "cell": [[4.7275, 0.0000, 0.0000], [0.0000, 4.7275, 0.0000], [0.0000, 0.0000, 11.5446]],
  "species": ["Ba", "Ba", "Ga", "Ga", "Ga", "Ga", "Ga", "Hg", "Hg", "Hg"],
  "fractional_positions": [[0.0000, 0.5000, 0.2357], [0.5000, 0.0000, 0.7643], [0.0000, 0.0000, 0.0000], [0.0000, 0.0000, 0.5000], [0.0000, 0.5000, 0.8861], [0.5000, 0.0000, 0.1139], [0.5000, 0.5000, 0.0000], [0.0000, 0.5000, 0.6485], [0.5000, 0.0000, 0.3515], [0.5000, 0.5000, 0.5000]],
  "total_energy_ry_per_atom": -0.1743,
  "formation_energy_ev_per_atom": -0.38,
  "crystal_system": "tetragonal",
  "dos_ef_per_ev_cell": 5.29
}

What did the first record say?
{
  "formula": "La3TbMg",
  "functional": "GGA-PBE",
  "state": "optimized geometry",
  "cell": [[3.8453, 0.0000, 0.0000], [-0.0010, 8.9709, 0.0000], [-1.9216, -2.3830, 9.8487]],
  "species": ["La", "La", "La", "La", "La", "La", "Tb", "Tb", "Mg", "Mg"],
  "fractional_positions": [[0.0032, 0.2585, 0.0050], [0.1876, 0.3751, 0.3735], [0.2004, 0.8260, 0.4016], [0.7996, 0.1740, 0.5984], [0.8124, 0.6249, 0.6265], [0.9968, 0.7415, 0.9950], [0.3976, 0.9570, 0.7963], [0.6024, 0.0430, 0.2037], [0.4078, 0.4411, 0.8166], [0.5922, 0.5589, 0.1834]],
  "de_polymorph_ev_per_atom": 0.000,
  "total_energy_ry_per_atom": -0.3096,
  "formation_energy_ev_per_atom": -0.01,
  "crystal_system": "triclinic",
  "dos_ef_per_ev_cell": 14.55
}